An optimized crystal structure of BaRe2Mo, computed with PBE-GGA.

Summary:
Excess energy over the best structure of this formula in the dataset   0.005 eV/atom
Total magnetization   0.0 μB/f.u.
Calculated formation energy   0.77 eV/atom
Space-group type   Pm (6)

a b c (Å): 3.002 3.746 7.919
angles (deg): 90.00 91.17 90.00
Positions (direct):
Ba (0.000, 0.000, 0.000)
Re (0.495, 0.500, 0.659)
Re (0.947, 0.000, 0.515)
Mo (0.495, 0.500, 0.348)

An optimized crystal structure of TaAg2Br, computed with PBE-GGA.

Summary:
Excess energy over the best structure of this formula in the dataset   0.402 eV/atom
Total magnetization   0.0 μB/f.u.
Uncorrected formation energy   2.456 eV per formula unit
Space-group type   Pmmm (47)

a b c (Å): 3.012 4.781 5.345
angles (deg): 90.00 90.00 90.00
Positions (direct):
Ta (0.000, 0.000, 0.000)
Ag (0.000, 0.500, 0.500)
Ag (0.500, 0.000, 0.500)
Br (0.500, 0.500, 0.000)

An optimized crystal structure of Tb2PmEr3Sb6, computed with PBE-GGA.

Summary:
Total magnetization   0.0 μB/f.u.
Uncorrected formation energy   -13.510 eV per formula unit
Space-group type   C2/m (12)

a b c (Å): 9.819 9.819 8.783
angles (deg): 102.85 102.85 25.85
Positions (direct):
Tb (0.167, 0.167, 0.334)
Tb (0.833, 0.833, 0.666)
Pm (0.500, 0.500, 0.000)
Er (0.166, 0.166, 0.833)
Er (0.500, 0.500, 0.500)
Er (0.834, 0.834, 0.167)
Sb (0.000, 0.000, 0.256)
Sb (0.000, 0.000, 0.744)
Sb (0.331, 0.331, 0.918)
Sb (0.334, 0.334, 0.415)
Sb (0.666, 0.666, 0.585)
Sb (0.669, 0.669, 0.082)

An optimized crystal structure of ZnReCl2, computed with PBE-GGA.

Summary:
Excess energy over the best structure of this formula in the dataset   0.987 eV/atom
Total magnetization   2.3 μB/f.u.
Uncorrected formation energy   3.868 eV per formula unit
Space-group type   Pmmm (47)

a b c (Å): 2.968 3.917 6.130
angles (deg): 90.00 90.00 90.00
Positions (direct):
Zn (0.000, 0.000, 0.000)
Re (0.000, 0.000, 0.500)
Cl (0.500, 0.500, 0.270)
Cl (0.500, 0.500, 0.730)

An optimized crystal structure of Ce2TiP3Rh12, computed with PBE-GGA.

Summary:
Total magnetization   0.0 μB/f.u.
Calculated formation energy   -0.43 eV/atom
Space-group type   R-3m (166)

a b c (Å): 6.726 6.726 6.726
angles (deg): 79.62 79.62 79.62
Positions (direct):
Ce (0.115, 0.115, 0.115)
Ce (0.885, 0.885, 0.885)
Ti (0.500, 0.500, 0.500)
P (0.000, 0.500, 0.500)
P (0.500, 0.000, 0.500)
P (0.500, 0.500, 0.000)
Rh (0.152, 0.678, 0.678)
Rh (0.153, 0.153, 0.585)
Rh (0.153, 0.585, 0.153)
Rh (0.322, 0.322, 0.848)
Rh (0.322, 0.848, 0.322)
Rh (0.415, 0.847, 0.847)
Rh (0.585, 0.153, 0.153)
Rh (0.678, 0.152, 0.678)
Rh (0.678, 0.678, 0.152)
Rh (0.847, 0.415, 0.847)
Rh (0.847, 0.847, 0.415)
Rh (0.848, 0.322, 0.322)

An optimized crystal structure of PuZr2Ag, computed with PBE-GGA.

Summary:
Excess energy over the best structure of this formula in the dataset   0.114 eV/atom
Total magnetization   4.9 μB/f.u.
Calculated formation energy   0.15 eV/atom
Space-group type   R3m (160)

a b c (Å): 10.332 10.332 10.332
angles (deg): 17.76 17.76 17.76
Positions (direct):
Pu (0.000, 0.000, 0.000)
Zr (0.581, 0.581, 0.581)
Zr (0.754, 0.754, 0.754)
Ag (0.168, 0.168, 0.168)